(1)
# PdRh3Pb6

Crystalline PdRh3Pb6 at its relaxed geometry (PBE, Alexandria).

Properties
formation energy from the elements = -0.035 eV per atom
VASP energy = -99.700 eV per cell
total magnetic moment = 0.0000 μB/atom
space group = P2_1/c (14)

abc: 7.148 6.843 11.147
angles: 90.00 120.70 90.00
Element x y z (fractional)
1 Pd 0.000 0.000 0.000
2 Pd 0.000 0.500 0.500
3 Rh 0.305 0.169 0.783
4 Rh 0.305 0.331 0.283
5 Rh 0.500 0.000 0.500
6 Rh 0.500 0.500 0.000
7 Rh 0.695 0.669 0.717
8 Rh 0.695 0.831 0.217
9 Pb 0.081 0.505 0.771
10 Pb 0.081 0.995 0.271
11 Pb 0.251 0.656 0.099
12 Pb 0.251 0.844 0.599
13 Pb 0.405 0.152 0.074
14 Pb 0.405 0.348 0.574
15 Pb 0.595 0.652 0.426
16 Pb 0.595 0.848 0.926
17 Pb 0.749 0.156 0.401
18 Pb 0.749 0.344 0.901
19 Pb 0.919 0.005 0.729
20 Pb 0.919 0.495 0.229

(2)
# MgIrW2

Crystalline MgIrW2 at its relaxed geometry (PBE, Alexandria).

Properties
formation energy from the elements = 0.167 eV per atom
VASP energy = -35.692 eV per cell
total magnetic moment = 0.0000 μB/atom
space group = P4mm (99)

abc: 3.200 3.200 6.279
angles: 90.00 90.00 90.00
Element x y z (fractional)
1 Mg 0.000 0.000 0.000
2 Ir 0.500 0.500 0.761
3 W 0.000 0.000 0.498
4 W 0.500 0.500 0.277

(3)
# Li5Pm4Au6

Crystalline Li5Pm4Au6 at its relaxed geometry (PBE, Alexandria).

Properties
formation energy from the elements = -0.576 eV per atom
VASP energy = -113.761 eV per cell
total magnetic moment = 0.0000 μB/atom
space group = Cmc2_1 (36)

abc: 10.839 10.839 15.349
angles: 90.00 90.00 157.91
Element x y z (fractional)
1 Li 0.060 0.940 0.500
2 Li 0.145 0.855 0.821
3 Li 0.165 0.835 0.092
4 Li 0.194 0.806 0.443
5 Li 0.338 0.662 0.458
6 Li 0.662 0.338 0.958
7 Li 0.806 0.194 0.943
8 Li 0.835 0.165 0.592
9 Li 0.855 0.145 0.321
10 Li 0.940 0.060 0.000
11 Pm 0.318 0.682 0.768
12 Pm 0.344 0.656 0.130
13 Pm 0.466 0.534 0.605
14 Pm 0.488 0.512 0.341
15 Pm 0.512 0.488 0.841
16 Pm 0.534 0.466 0.105
17 Pm 0.656 0.344 0.630
18 Pm 0.682 0.318 0.268
19 Au 0.057 0.943 0.692
20 Au 0.072 0.928 0.965
21 Au 0.079 0.921 0.243
22 Au 0.258 0.742 0.591
23 Au 0.281 0.719 0.307
24 Au 0.387 0.613 0.940
25 Au 0.613 0.387 0.440
26 Au 0.719 0.281 0.807
27 Au 0.742 0.258 0.091
28 Au 0.921 0.079 0.743
29 Au 0.928 0.072 0.465
30 Au 0.943 0.057 0.192

(4)
# Zr2TiInO

Crystalline Zr2TiInO at its relaxed geometry (PBE, Alexandria).

Properties
formation energy without anion corrections = -557 kJ/mol of formula units
VASP energy = -38.456 eV per cell
total magnetic moment = 0.0000 μB/atom
space group = P4/mmm (123)

abc: 4.633 4.633 4.038
angles: 90.00 90.00 90.00
Element x y z (fractional)
1 Zr 0.000 0.500 0.000
2 Zr 0.500 0.000 0.000
3 Ti 0.000 0.000 0.500
4 In 0.500 0.500 0.500
5 O 0.000 0.000 0.000

(5)
# ZrCo2Tc

Crystalline ZrCo2Tc at its relaxed geometry (PBE, Alexandria).

Properties
formation energy from the elements = 0.107 eV per atom
VASP energy = -32.697 eV per cell
energy relative to the lowest polymorph listed for this composition = 135.4 meV per atom
total magnetic moment = 0.9727 μB/atom
space group = F-43m (216)

abc: 4.359 4.359 4.359
angles: 60.00 60.00 60.00
Element x y z (fractional)
1 Zr 0.000 0.000 0.000
2 Co 0.500 0.500 0.500
3 Co 0.750 0.750 0.750
4 Tc 0.250 0.250 0.250

(6)
# Ba2Ag2Hg3

Crystalline Ba2Ag2Hg3 at its relaxed geometry (PBE, Alexandria).

Properties
formation energy from the elements = -0.332 eV per atom
VASP energy = -12.776 eV per cell
total magnetic moment = 0.0000 μB/atom
space group = C2/m (12)

abc: 6.239 6.239 8.110
angles: 109.44 109.44 45.02
Element x y z (fractional)
1 Ba 0.140 0.140 0.262
2 Ba 0.860 0.860 0.738
3 Ag 0.143 0.143 0.710
4 Ag 0.857 0.857 0.290
5 Hg 0.377 0.377 0.068
6 Hg 0.500 0.500 0.500
7 Hg 0.623 0.623 0.932

(7)
# TaMn3Pb

Crystalline TaMn3Pb at its relaxed geometry (PBE, Alexandria).

Properties
formation energy from the elements = 1.768 eV per atom
VASP energy = -34.231 eV per cell
energy relative to the lowest polymorph listed for this composition = 598.3 meV per atom
total magnetic moment = 1.7032 μB/atom
space group = Pm-3m (221)

abc: 4.906 4.906 4.906
angles: 90.00 90.00 90.00
Element x y z (fractional)
1 Ta 0.000 0.000 0.000
2 Mn 0.000 0.500 0.500
3 Mn 0.500 0.000 0.500
4 Mn 0.500 0.500 0.000
5 Pb 0.500 0.500 0.500

(8)
# CsTlBiPb

Crystalline CsTlBiPb at its relaxed geometry (PBE, Alexandria).

Properties
formation energy from the elements = 0.003 eV per atom
VASP energy = -10.798 eV per cell
energy relative to the lowest polymorph listed for this composition = 115.7 meV per atom
total magnetic moment = 0.0000 μB/atom
space group = F-43m (216)

abc: 5.964 5.964 5.964
angles: 60.00 60.00 60.00
Element x y z (fractional)
1 Cs 0.000 0.000 0.000
2 Tl 0.250 0.250 0.250
3 Bi 0.750 0.750 0.750
4 Pb 0.500 0.500 0.500

(9)
# GdHF

Crystalline GdHF at its relaxed geometry (PBE, Alexandria).

Properties
VASP energy = -25.225 eV per cell
energy relative to the lowest polymorph listed for this composition = 136.7 meV per atom
total magnetic moment = 2.3862 μB/atom
space group = F-43m (216)

abc: 3.916 3.916 3.916
angles: 60.00 60.00 60.00
Element x y z (fractional)
1 Gd 0.000 0.000 0.000
2 H 0.750 0.750 0.750
3 F 0.250 0.250 0.250

(10)
# FeCo2AgC

Crystalline FeCo2AgC at its relaxed geometry (PBE, Alexandria).

Properties
formation energy from the elements = 0.248 eV per atom
VASP energy = -33.511 eV per cell
total magnetic moment = 0.8336 μB/atom
space group = P4/mmm (123)

abc: 3.823 3.823 3.900
angles: 90.00 90.00 90.00
Element x y z (fractional)
1 Fe 0.000 0.000 0.000
2 Co 0.000 0.500 0.500
3 Co 0.500 0.000 0.500
4 Ag 0.500 0.500 0.000
5 C 0.000 0.000 0.500

(11)
# LuGaBi2

Crystalline LuGaBi2 at its relaxed geometry (PBE, Alexandria).

Properties
formation energy from the elements = 0.072 eV per atom
VASP energy = -15.023 eV per cell
energy relative to the lowest polymorph listed for this composition = 354.8 meV per atom
total magnetic moment = 0.0000 μB/atom
space group = R-3m (166)

abc: 8.603 8.603 8.603
angles: 33.01 33.01 33.01
Element x y z (fractional)
1 Lu 0.000 0.000 0.000
2 Ga 0.500 0.500 0.500
3 Bi 0.391 0.391 0.391
4 Bi 0.609 0.609 0.609

(12)
# LaCr2Ni

Crystalline LaCr2Ni at its relaxed geometry (PBE, Alexandria).

Properties
formation energy from the elements = 0.700 eV per atom
VASP energy = -27.156 eV per cell
energy relative to the lowest polymorph listed for this composition = 456.9 meV per atom
total magnetic moment = 0.0023 μB/atom
space group = Immm (71)

abc: 5.649 5.649 5.649
angles: 149.99 133.59 56.26
Element x y z (fractional)
1 La 0.000 0.000 0.000
2 Cr 0.277 0.777 0.500
3 Cr 0.723 0.223 0.500
4 Ni 0.500 0.500 0.000